Compound: EuGdNiRh
Source: Alexandria via LeMat-Bulk
Functional: GGA-PBE
Structure: relaxed

Summary:
* E: -9.739 eV/atom
* formation enthalpy at 0 K: -0.367 eV per atom

Lattice parameters (Å, degrees): 4.908 4.908 4.908 60.00 60.00 60.00
Positions (direct):
1 Eu 0.750 0.750 0.750
2 Ni 0.000 0.000 0.000
3 Gd 0.250 0.250 0.250
4 Rh 0.500 0.500 0.500